The following is a DFT calculation (PBE) of a relaxed structure of La7PrTm4.

Structure (POSCAR):
```
La7PrTm4
1.0
7.0699 1.8208 0.8872
5.3274 7.7792 2.4960
-1.0202 -0.4576 8.9944
La Tm Pr
7 4 1
Direct
0.2221 0.7781 0.6662
0.7604 0.4974 0.0044
0.0329 0.7167 0.3380
0.7779 0.2219 0.3338
0.2396 0.5026 0.9956
0.5000 0.0000 0.0000
0.9671 0.2833 0.6620
0.7169 0.7832 0.6625
0.5345 0.7232 0.3336
0.2831 0.2168 0.3375
0.4655 0.2768 0.6664
0.0000 0.0000 0.0000
```

Summary:
The space-group type is No. 2. The mass density comes out at 7.1 g/cm3. The value obtained for the formation energy is 0.015 eV/atom. The calculation puts the energy at -57.0 eV/cell.